An optimized crystal structure of YZr2TaCl. Source: Alexandria, functional PBE.

Calculated values
Size of the total moment, μB/cell: 1.15
Space-group type: No. 123
Uncorrected formation energy, meV/atom: 1773

Structure (POSCAR):
```
YZr2TaCl
1.0
5.404 0.000 0.000
0.000 5.404 0.000
0.000 0.000 5.006
Y Zr Ta Cl
1 2 1 1
Direct
0.000 0.000 0.000
0.000 0.500 0.000
0.500 0.000 0.000
0.000 0.000 0.500
0.500 0.500 0.500
```